Sr3Sb3Pd2 after structural relaxation, computed with PBE.

Values from the calculation:
Size of the total moment (μB/cell): 0.00
N(E_F) (states/eV per cell): 4.802
Electronic total energy (eV per atom): -4.39

a b c (Å): 6.2509 6.2509 15.9943
angles (deg): 90.00 90.00 135.11
Closest atoms and distances in Å follow each position.
Element x y z (fractional)
Sr 0.0886 0.9114 0.6095  7 Sb 3.36-3.62, 4 Pd 3.38-3.56
Sr 0.0886 0.9114 0.8905  7 Sb 3.36-3.62, 4 Pd 3.38-3.56
Sr 0.3698 0.6302 0.7500  5 Sb 3.31-3.48, 4 Pd 3.52
Sr 0.6302 0.3698 0.2500  5 Sb 3.31-3.48, 4 Pd 3.52
Sr 0.9114 0.0886 0.1095  7 Sb 3.36-3.62, 4 Pd 3.38-3.56
Sr 0.9114 0.0886 0.3905  7 Sb 3.36-3.62, 4 Pd 3.38-3.56
Sb 0.3292 0.6708 0.2500  2 Pd 2.84
Sb 0.3762 0.6238 0.5359  3 Pd 2.74-2.92
Sb 0.3762 0.6238 0.9641  3 Pd 2.74-2.92
Sb 0.6238 0.3762 0.0359  3 Pd 2.74-2.92
Sb 0.6238 0.3762 0.4641  3 Pd 2.74-2.92
Sb 0.6708 0.3292 0.7500  2 Pd 2.84
Pd 0.2034 0.7966 0.0972  4 Sb 2.74-2.92
Pd 0.2034 0.7966 0.4028  4 Sb 2.74-2.92
Pd 0.7966 0.2034 0.5972  4 Sb 2.74-2.92
Pd 0.7966 0.2034 0.9028  4 Sb 2.74-2.92